VASP calculation (PBE with a Hubbard U) on a geometry-optimized WOF4 structure.

Structure (POSCAR):
```
WOF4
1.0
5.321 -0.257 -0.202
-1.261 6.078 -0.007
-0.510 -1.473 6.399
W O F
2 2 8
direct
0.853 0.254 0.782 W
0.147 0.746 0.218 W
0.619 0.997 0.729 O
0.381 0.003 0.271 O
0.152 0.173 0.887 F
0.165 0.624 0.919 F
0.649 0.448 0.720 F
0.980 0.254 0.526 F
0.020 0.746 0.474 F
0.351 0.552 0.280 F
0.835 0.376 0.081 F
0.848 0.827 0.113 F
```

* N(E_F): 0.000 states/eV/atom
* ΔE to the lowest computed polymorph: 4.9 kJ/mol of atoms